The following is a DFT calculation (GGA-PBE) of a geometry-optimized HgAsSe2 structure. Values from VASP.

The structure in Quantum ESPRESSO input format:
```
&SYSTEM
  ibrav = 0, nat = 4, ntyp = 3
/
ATOMIC_SPECIES
Se 78.96 Se.upf
Hg 200.59 Hg.upf
As 74.92 As.upf
CELL_PARAMETERS angstrom
6.2504 -0.0541 0.0533
3.4206 5.2317 -0.0533
-4.6539 -2.9281 2.9735
ATOMIC_POSITIONS angstrom
Se 8.9464 4.7897 0.0000
Se 5.5601 2.9767 0.0000
Hg 1.8011 2.4462 1.4601
As 3.2160 -0.1967 1.5134
```

For the uncorrected formation energy, the calculation gives 261 meV per atom. For the density of states at the Fermi level, the calculation gives 0.572 states/eV per atom. For the total energy, the calculation gives -10.9 eV per cell. The calculation puts the relative energy among the computed polymorphs at 328 meV per atom. The magnetization comes out at 0.0 Bohr magnetons per cell.

The following is a DFT calculation (GGA-PBE) of a geometry-optimized Y2VPd structure. Values from VASP.

The structure in Quantum ESPRESSO input format:
```
&SYSTEM
  ibrav = 0, nat = 8, ntyp = 3
/
ATOMIC_SPECIES
Y 88.91 Y.upf
Pd 106.42 Pd.upf
V 50.94 V.upf
CELL_PARAMETERS angstrom
-2.2541 2.9578 6.8798
-1.0568 -7.2385 2.7658
1.3388 -2.1938 5.8268
ATOMIC_POSITIONS angstrom
Y -0.5456 -4.7841 3.8560
Y -1.2682 0.4767 6.2916
Y -0.2084 -3.0515 7.9111
Y -1.9220 -5.5901 12.8861
Pd -1.2854 -0.6882 8.7647
Pd 0.0000 0.0000 0.0000
V -1.6555 -2.1403 4.8228
V -0.6867 -5.7863 6.7077
```

Its energy of formation is 0.17 eV/atom. For the density of states at the Fermi level, the calculation gives 0.998 states/eV per atom. For the total energy, the calculation gives -53.1 eV per cell. The calculation puts the relative energy among the computed polymorphs at 334 meV per atom. The magnetization comes out at 6.6 Bohr magnetons per cell.

The following is a DFT calculation (GGA-PBE) of a geometry-optimized Pm4Ge2B structure. Values from VASP.

The structure in Quantum ESPRESSO input format:
```
&SYSTEM
  ibrav = 0, nat = 7, ntyp = 3
/
ATOMIC_SPECIES
Ge 72.64 Ge.upf
Pm 145.00 Pm.upf
B 10.81 B.upf
CELL_PARAMETERS angstrom
-0.8910 4.7900 -0.2462
-4.5484 -0.7644 1.5896
5.2017 -1.1651 6.8381
ATOMIC_POSITIONS angstrom
Ge -2.0495 2.2417 2.6995
Ge 1.8118 0.6188 5.4819
Pm -0.4455 2.3950 -0.1231
Pm -1.1089 2.5630 5.5454
Pm 0.8712 0.2976 2.6360
Pm -2.2742 -0.3822 0.7948
B 0.0000 0.0000 0.0000
```

Its energy of formation is -0.38 eV/atom. For the density of states at the Fermi level, the calculation gives 0.793 states/eV per atom. For the total energy, the calculation gives -37.6 eV per cell. The magnetization comes out at 0.0 Bohr magnetons per cell.

The following is a DFT calculation (GGA-PBE) of a geometry-optimized Tm7RuSe5 structure. Values from VASP.

The structure in Quantum ESPRESSO input format:
```
&SYSTEM
  ibrav = 0, nat = 26, ntyp = 3
/
ATOMIC_SPECIES
Se 78.96 Se.upf
Tm 168.93 Tm.upf
Ru 101.07 Ru.upf
CELL_PARAMETERS angstrom
-3.3570 1.7046 0.9747
-0.2634 -6.4098 2.5438
9.9820 7.8125 20.7176
ATOMIC_POSITIONS angstrom
Se 6.8330 1.6963 20.5681
Se -0.3846 -2.5962 3.2158
Se 3.2166 0.3020 10.5509
Se 1.7320 3.1309 8.2490
Se 4.7306 0.1719 15.9928
Se 3.1914 2.9166 13.6506
Se 6.7158 5.5956 21.1043
Se 1.4073 -0.7275 13.8786
Se -0.0060 -0.0517 0.0697
Se -0.4873 1.2726 3.8551
Tm -2.1410 -2.8781 5.4184
Tm 0.9957 -0.9419 5.0770
Tm 5.6120 6.1946 16.2548
Tm 3.9963 0.2510 13.3256
Tm 8.2176 3.4737 22.2288
Tm 0.7055 -3.1265 7.8978
Tm 2.4049 0.3151 7.7320
Tm -1.8505 -0.4481 2.1691
Tm 5.8241 3.8845 13.2663
Tm 8.2356 5.5697 18.6250
Tm 2.4494 2.9988 10.9511
Tm 5.2803 3.8235 19.2592
Tm 4.0195 2.9908 16.3730
Tm 0.4654 -0.6362 10.4747
Ru 6.8225 3.7953 16.8610
Ru -0.3051 -0.5707 7.7065
```

For the uncorrected formation energy, the calculation gives -1387 meV per atom. For the density of states at the Fermi level, the calculation gives 0.448 states/eV per atom. For the total energy, the calculation gives -152.1 eV per cell. The magnetization comes out at 0.0 Bohr magnetons per cell.

Repeat the fourth record exactly.
The following is a DFT calculation (GGA-PBE) of a geometry-optimized Tm7RuSe5 structure. Values from VASP.

The structure in Quantum ESPRESSO input format:
```
&SYSTEM
  ibrav = 0, nat = 26, ntyp = 3
/
ATOMIC_SPECIES
Se 78.96 Se.upf
Tm 168.93 Tm.upf
Ru 101.07 Ru.upf
CELL_PARAMETERS angstrom
-3.3570 1.7046 0.9747
-0.2634 -6.4098 2.5438
9.9820 7.8125 20.7176
ATOMIC_POSITIONS angstrom
Se 6.8330 1.6963 20.5681
Se -0.3846 -2.5962 3.2158
Se 3.2166 0.3020 10.5509
Se 1.7320 3.1309 8.2490
Se 4.7306 0.1719 15.9928
Se 3.1914 2.9166 13.6506
Se 6.7158 5.5956 21.1043
Se 1.4073 -0.7275 13.8786
Se -0.0060 -0.0517 0.0697
Se -0.4873 1.2726 3.8551
Tm -2.1410 -2.8781 5.4184
Tm 0.9957 -0.9419 5.0770
Tm 5.6120 6.1946 16.2548
Tm 3.9963 0.2510 13.3256
Tm 8.2176 3.4737 22.2288
Tm 0.7055 -3.1265 7.8978
Tm 2.4049 0.3151 7.7320
Tm -1.8505 -0.4481 2.1691
Tm 5.8241 3.8845 13.2663
Tm 8.2356 5.5697 18.6250
Tm 2.4494 2.9988 10.9511
Tm 5.2803 3.8235 19.2592
Tm 4.0195 2.9908 16.3730
Tm 0.4654 -0.6362 10.4747
Ru 6.8225 3.7953 16.8610
Ru -0.3051 -0.5707 7.7065
```

For the uncorrected formation energy, the calculation gives -1387 meV per atom. For the density of states at the Fermi level, the calculation gives 0.448 states/eV per atom. For the total energy, the calculation gives -152.1 eV per cell. The magnetization comes out at 0.0 Bohr magnetons per cell.

Repeat the first record exactly.
The following is a DFT calculation (GGA-PBE) of a geometry-optimized HgAsSe2 structure. Values from VASP.

The structure in Quantum ESPRESSO input format:
```
&SYSTEM
  ibrav = 0, nat = 4, ntyp = 3
/
ATOMIC_SPECIES
Se 78.96 Se.upf
Hg 200.59 Hg.upf
As 74.92 As.upf
CELL_PARAMETERS angstrom
6.2504 -0.0541 0.0533
3.4206 5.2317 -0.0533
-4.6539 -2.9281 2.9735
ATOMIC_POSITIONS angstrom
Se 8.9464 4.7897 0.0000
Se 5.5601 2.9767 0.0000
Hg 1.8011 2.4462 1.4601
As 3.2160 -0.1967 1.5134
```

For the uncorrected formation energy, the calculation gives 261 meV per atom. For the density of states at the Fermi level, the calculation gives 0.572 states/eV per atom. For the total energy, the calculation gives -10.9 eV per cell. The calculation puts the relative energy among the computed polymorphs at 328 meV per atom. The magnetization comes out at 0.0 Bohr magnetons per cell.